# 1
Ba2ZrCl, optimized geometry, DFT GGA-PBEsol; crystal system = orthorhombic; calculated volume = 127 Å³/cell; spin magnetization = 0.69 μB/f.u.; E_form (uncorrected) = -266 meV per atom
1.0
3.5744 0.0000 0.0000
0.0000 5.5209 0.0000
0.0000 0.0000 6.4207
Ba Zr Cl
2 1 1
direct
0.0000 0.0000 0.0000
0.5000 0.5000 0.5000
0.0000 0.0000 0.5000
0.5000 0.5000 0.0000

# 2
BaCo3, optimized geometry, DFT GGA-PBEsol; crystal system = hexagonal; calculated volume = 76 Å³/cell; spin magnetization = 4.56 μB/f.u.; E_form = 0.89 eV/atom
1.0
3.4985 0.0000 0.0000
-1.7493 3.0298 0.0000
0.0000 0.0000 7.1492
Ba Co
1 3
direct
0.0000 0.0000 0.0000
0.0000 0.0000 0.5000
0.3333 0.6667 0.3424
0.3333 0.6667 0.6576

# 3
BaCo3, optimized geometry, DFT GGA-PBEsol; crystal system = cubic; calculated volume = 63 Å³/cell; spin magnetization = 3.11 μB/f.u.; E_form = 1.13 eV/atom
1.0
0.0000 3.1547 3.1547
3.1547 0.0000 3.1547
3.1547 3.1547 0.0000
Ba Co
1 3
direct
0.0000 0.0000 0.0000
0.2500 0.2500 0.2500
0.5000 0.5000 0.5000
0.7500 0.7500 0.7500

# 4
BaCo5, optimized geometry, DFT GGA-PBEsol; crystal system = orthorhombic; calculated volume = 96 Å³/cell; spin magnetization = 7.74 μB/f.u.; E_form = 0.48 eV/atom
1.0
3.5073 0.0000 0.0000
0.0000 1.7519 7.8494
0.0000 -1.7519 7.8494
Ba Co
1 5
direct
0.0000 0.0000 0.0000
0.0000 0.3195 0.3195
0.0000 0.7167 0.7167
0.5000 0.2175 0.2175
0.5000 0.6241 0.6241
0.5000 0.8235 0.8235

# 5
Ba2Co, optimized geometry, DFT GGA-PBEsol; crystal system = orthorhombic; calculated volume = 227 Å³/cell; spin magnetization = 0.63 μB/f.u.; E_form = 0.49 eV/atom
1.0
7.1147 0.0000 0.0000
0.0000 7.1406 0.0000
0.0000 0.0000 4.4699
Ba Co
4 2
direct
0.2161 0.1860 0.0000
0.2839 0.6860 0.5000
0.7161 0.3140 0.5000
0.7839 0.8140 0.0000
0.0000 0.0000 0.5000
0.5000 0.5000 0.0000

# 6
BaCr2FeCo, optimized geometry, DFT GGA-PBEsol; crystal system = tetragonal; calculated volume = 93 Å³/cell; spin magnetization = 8.54 μB/f.u.; E_form = 1.05 eV/atom
1.0
4.4801 0.0000 0.0000
0.0000 4.4801 0.0000
0.0000 0.0000 4.6492
Ba Cr Fe Co
1 2 1 1
direct
0.0000 0.0000 0.0000
0.0000 0.5000 0.5000
0.5000 0.0000 0.5000
0.5000 0.5000 0.0000
0.5000 0.5000 0.5000

Question: Look up the calculated volume of the fourth one.
Answer: 96 Å³/cell

Copy entry 2 word for word.
BaCo3, optimized geometry, DFT GGA-PBEsol; crystal system = hexagonal; calculated volume = 76 Å³/cell; spin magnetization = 4.56 μB/f.u.; E_form = 0.89 eV/atom
1.0
3.4985 0.0000 0.0000
-1.7493 3.0298 0.0000
0.0000 0.0000 7.1492
Ba Co
1 3
direct
0.0000 0.0000 0.0000
0.0000 0.0000 0.5000
0.3333 0.6667 0.3424
0.3333 0.6667 0.6576

Question: Look up the spin magnetization of the fifth one.
Answer: 0.63 μB/f.u.